A plane-wave DFT calculation with GGA-PBE was carried out for crystalline Rb2GeO at its relaxed geometry.

```
8
Lattice="-0.9014 8.2594 -8.6290 6.1143 -7.1148 -7.4488 0.8199 -0.2921 -8.6797" Properties=species:S:1:pos:R:3 pbc="T T T"
Ge 0.0000 0.0000 0.0000
Ge 1.2625 4.2698 -12.6738
Rb 0.5903 2.5105 -6.7293
Rb 3.7294 -1.7981 -9.6689
Rb 3.8203 -1.2450 -14.0624
Rb 3.9257 2.2376 -19.0544
O 4.7704 -3.4173 -12.0837
O 2.6065 0.5723 -8.0389
```

E_tot = -3.30 eV/atom
space group = No. 122